[1]
CdNi3Br after structural relaxation, computed with GGA-PBE.

abc: 4.791 4.791 4.791
angles: 90.00 90.00 90.00
Atoms (fractional coordinates):
1 Ni 0.000 0.000 0.500
2 Ni 0.000 0.500 0.000
3 Ni 0.500 0.000 0.000
4 Br 0.500 0.500 0.500
5 Cd 0.000 0.000 0.000

## Properties
Volume (Å³ per atom): 22.00
Energy above the most stable polymorph in this dataset (eV/f.u.): 2.874

---

[2]
Cd3NiBr after structural relaxation, computed with GGA-PBE.

abc: 5.598 5.598 5.598
angles: 90.00 90.00 90.00
Atoms (fractional coordinates):
1 Ni 0.500 0.500 0.500
2 Cd 0.000 0.500 0.000
3 Cd 0.500 0.000 0.000
4 Cd 0.000 0.000 0.500
5 Br 0.000 0.000 0.000

## Properties
Volume (Å³ per atom): 35.08
Energy above the most stable polymorph in this dataset (eV/f.u.): 5.109

---

[3]
CdNi2Br after structural relaxation, computed with GGA-PBE.

abc: 4.512 4.512 4.512
angles: 60.00 60.00 60.00
Atoms (fractional coordinates):
1 Ni 0.750 0.750 0.750
2 Ni 0.250 0.250 0.250
3 Br 0.000 0.000 0.000
4 Cd 0.500 0.500 0.500

## Properties
Volume (Å³ per atom): 16.24
Energy above the most stable polymorph in this dataset (eV/f.u.): 1.072

---

[4]
CdNi2Br after structural relaxation, computed with GGA-PBE.

abc: 7.210 7.210 7.210
angles: 28.74 28.74 28.74
Atoms (fractional coordinates):
1 Cd 0.728 0.728 0.728
2 Br 0.527 0.527 0.527
3 Ni 0.260 0.260 0.260
4 Ni 0.984 0.984 0.984

## Properties
Volume (Å³ per atom): 19.15
Energy above the most stable polymorph in this dataset (eV/f.u.): 0.000

---

[5]
CdNi2Br after structural relaxation, computed with GGA-PBE.

abc: 4.619 4.619 8.122
angles: 73.48 73.48 90.00
Atoms (fractional coordinates):
1 Br 0.250 0.750 0.500
2 Br 0.500 0.500 0.000
3 Cd 0.000 0.000 0.000
4 Cd 0.750 0.250 0.500
5 Ni 0.520 0.125 0.250
6 Ni 0.875 0.770 0.750
7 Ni 0.230 0.625 0.250
8 Ni 0.375 0.480 0.750

## Properties
Volume (Å³ per atom): 19.83
Energy above the most stable polymorph in this dataset (eV/f.u.): 0.808

---

[6]
CdNi2Br after structural relaxation, computed with GGA-PBE.

abc: 4.578 4.578 4.578
angles: 60.00 60.00 60.00
Atoms (fractional coordinates):
1 Ni 0.250 0.250 0.250
2 Ni 0.000 0.000 0.000
3 Br 0.500 0.500 0.500
4 Cd 0.750 0.750 0.750

## Properties
Volume (Å³ per atom): 16.97
Energy above the most stable polymorph in this dataset (eV/f.u.): 1.613

---

[7]
CdNi2Br after structural relaxation, computed with GGA-PBE.

abc: 5.129 5.129 3.185
angles: 73.10 73.10 108.88
Atoms (fractional coordinates):
1 Ni 0.000 0.000 0.000
2 Ni 0.500 0.500 0.000
3 Br 0.500 0.000 0.500
4 Cd 0.000 0.500 0.500

## Properties
Volume (Å³ per atom): 17.16
Energy above the most stable polymorph in this dataset (eV/f.u.): 1.074

---

[8]
CdNi2Br after structural relaxation, computed with GGA-PBE.

abc: 4.437 4.437 3.255
angles: 90.00 90.00 89.99
Atoms (fractional coordinates):
1 Cd 0.000 0.500 0.500
2 Br 0.500 0.000 0.500
3 Ni 0.000 0.000 0.000
4 Ni 0.500 0.500 0.000

## Properties
Volume (Å³ per atom): 16.02
Energy above the most stable polymorph in this dataset (eV/f.u.): 0.832

---

[9]
CdNi3Br after structural relaxation, computed with GGA-PBE.

abc: 4.408 4.408 4.408
angles: 90.00 90.00 90.00
Atoms (fractional coordinates):
1 Ni 0.500 0.000 0.000
2 Ni 0.000 0.000 0.500
3 Ni 0.000 0.500 0.000
4 Cd 0.500 0.500 0.500
5 Br 0.000 0.000 0.000

## Properties
Volume (Å³ per atom): 17.13
Energy above the most stable polymorph in this dataset (eV/f.u.): 0.000

---

[10]
CdNi2Br after structural relaxation, computed with GGA-PBE.

abc: 6.160 6.160 6.160
angles: 150.67 138.55 51.59
Atoms (fractional coordinates):
1 Ni 0.741 0.241 0.500
2 Ni 0.909 0.909 0.000
3 Cd 0.286 0.786 0.500
4 Br 0.565 0.565 0.000

## Properties
Volume (Å³ per atom): 18.85
Energy above the most stable polymorph in this dataset (eV/f.u.): 0.114

---

[11]
Pm6CdNi2Br3 after structural relaxation, computed with GGA-PBE.

abc: 4.057 9.125 9.890
angles: 108.00 101.84 90.00
Atoms (fractional coordinates):
1 Pm 0.334 0.871 0.667
2 Pm 0.320 0.444 0.639
3 Pm 0.983 0.735 0.966
4 Pm 0.017 0.265 0.034
5 Pm 0.666 0.129 0.333
6 Pm 0.680 0.556 0.361
7 Cd 0.500 0.000 0.000
8 Ni 0.833 0.662 0.666
9 Ni 0.167 0.338 0.334
10 Br 0.836 0.165 0.672
11 Br 0.164 0.835 0.328
12 Br 0.500 0.500 0.000

## Properties
Volume (Å³ per atom): 28.34
Total energy (eV per atom): -4.56

---

[12]
Pr6CdNi2Br3 after structural relaxation, computed with GGA-PBE.

abc: 4.119 9.257 10.017
angles: 107.98 101.86 90.00
Atoms (fractional coordinates):
1 Br 0.164 0.833 0.327
2 Br 0.500 0.500 0.000
3 Br 0.836 0.167 0.673
4 Pr 0.320 0.446 0.640
5 Pr 0.016 0.264 0.032
6 Pr 0.667 0.124 0.333
7 Pr 0.333 0.876 0.667
8 Pr 0.984 0.736 0.968
9 Pr 0.680 0.554 0.360
10 Ni 0.833 0.664 0.666
11 Ni 0.167 0.336 0.334
12 Cd 0.500 0.000 0.000

## Properties
Volume (Å³ per atom): 29.56
Total energy (eV per atom): -4.57

---

[13]
Rb2CdNiBr6 after structural relaxation, computed with GGA-PBE.

abc: 7.607 7.607 13.598
angles: 73.76 73.76 60.00
Atoms (fractional coordinates):
1 Rb 0.878 0.878 0.365
2 Rb 0.297 0.297 0.110
3 Rb 0.703 0.703 0.890
4 Rb 0.122 0.122 0.635
5 Br 0.802 0.278 0.117
6 Br 0.379 0.379 0.383
7 Br 0.859 0.379 0.383
8 Br 0.802 0.802 0.117
9 Br 0.621 0.141 0.617
10 Br 0.379 0.859 0.383
11 Br 0.198 0.198 0.883
12 Br 0.198 0.722 0.883
13 Br 0.722 0.198 0.883
14 Br 0.278 0.802 0.117
15 Br 0.141 0.621 0.617
16 Br 0.621 0.621 0.617
17 Cd 0.414 0.414 0.757
18 Cd 0.586 0.586 0.243
19 Ni 0.500 0.500 0.500
20 Ni 0.000 0.000 0.000

## Properties
Volume (Å³ per atom): 32.25
Energy above the most stable polymorph in this dataset (eV/f.u.): 0.000

---

[14]
Rb2CdNiBr6 after structural relaxation, computed with GGA-PBE.

abc: 7.601 7.601 7.603
angles: 60.01 60.01 90.00
Atoms (fractional coordinates):
1 Br 0.260 0.260 0.000
2 Br 0.739 0.739 0.521
3 Br 0.740 0.740 0.000
4 Br 0.260 0.740 0.000
5 Br 0.261 0.261 0.479
6 Br 0.740 0.260 0.000
7 Rb 0.250 0.750 0.500
8 Rb 0.750 0.250 0.500
9 Cd 0.000 0.000 0.000
10 Ni 0.500 0.500 0.000

## Properties
Volume (Å³ per atom): 31.07
Energy above the most stable polymorph in this dataset (eV/f.u.): 0.300

---

[15]
CdNiSe2Br after structural relaxation, computed with GGA-PBE.

abc: 5.227 5.227 5.459
angles: 90.00 90.00 90.00
Atoms (fractional coordinates):
1 Se 0.500 0.000 0.000
2 Se 0.000 0.500 0.000
3 Br 0.000 0.000 0.500
4 Ni 0.500 0.500 0.500
5 Cd 0.000 0.000 0.000

## Properties
Volume (Å³ per atom): 29.83
Energy above the most stable polymorph in this dataset (eV/f.u.): 3.515

---

[16]
CdNiSe2Br after structural relaxation, computed with GGA-PBE.

abc: 4.781 4.781 4.947
angles: 90.00 90.00 90.00
Atoms (fractional coordinates):
1 Ni 0.000 0.000 0.000
2 Cd 0.500 0.500 0.500
3 Se 0.000 0.500 0.000
4 Se 0.500 0.000 0.000
5 Br 0.000 0.000 0.500

## Properties
Volume (Å³ per atom): 22.61
Energy above the most stable polymorph in this dataset (eV/f.u.): 0.000

---

[17]
ZrCdNiBr2 after structural relaxation, computed with GGA-PBE.

abc: 5.329 5.024 5.329
angles: 90.00 90.00 90.00
Atoms (fractional coordinates):
1 Ni 0.000 0.500 0.000
2 Zr 0.000 0.000 0.000
3 Br 0.500 0.000 0.000
4 Br 0.000 0.000 0.500
5 Cd 0.500 0.500 0.500

## Properties
Volume (Å³ per atom): 28.54
Total energy (eV per atom): -3.70

---

[18]
NpCdBr6 after structural relaxation, computed with GGA-PBE.

abc: 6.962 6.964 7.390
angles: 61.89 80.90 70.39
Atoms (fractional coordinates):
1 Br 0.239 0.240 0.000
2 Br 0.746 0.104 0.298
3 Br 0.254 0.896 0.702
4 Br 0.746 0.402 0.702
5 Br 0.761 0.760 0.000
6 Br 0.254 0.598 0.298
7 Cd 0.500 0.500 0.000
8 Np 0.000 0.000 0.000

## Properties
Volume (Å³ per atom): 37.21
Energy above the most stable polymorph in this dataset (eV/f.u.): 0.000

---

[19]
NpCdBr6 after structural relaxation, computed with GGA-PBE.

abc: 6.988 6.988 7.565
angles: 62.48 62.50 60.00
Atoms (fractional coordinates):
1 Br 0.089 0.406 0.750
2 Br 0.245 0.911 0.250
3 Br 0.911 0.594 0.250
4 Br 0.594 0.245 0.250
5 Br 0.755 0.089 0.750
6 Br 0.406 0.755 0.750
7 Np 0.000 0.000 0.000
8 Cd 0.500 0.500 0.500

## Properties
Volume (Å³ per atom): 33.83
Energy above the most stable polymorph in this dataset (eV/f.u.): 0.094

---

[20]
NpCd3Br2O6 after structural relaxation, computed with GGA-PBE.

abc: 5.333 6.554 7.843
angles: 114.70 91.10 90.00
Atoms (fractional coordinates):
1 Br 0.063 0.688 0.376
2 Br 0.937 0.312 0.624
3 O 0.741 0.798 0.025
4 O 0.457 0.159 0.318
5 O 0.259 0.202 0.975
6 O 0.259 0.772 0.975
7 O 0.543 0.841 0.682
8 O 0.741 0.228 0.025
9 Cd 0.500 0.500 0.500
10 Cd 0.000 0.500 0.000
11 Cd 0.500 0.000 0.500
12 Np 0.500 0.000 0.000

## Properties
Volume (Å³ per atom): 20.75
Total energy (eV per atom): -5.40